Compound: Cr2IrF
Source: Alexandria via LeMat-Bulk
Functional: PBE with a Hubbard U
Structure: relaxed

Computed properties:
symmetry	No. 122
E above lowest polymorph	0	meV per atom
total magnetization	7.83	μB per formula unit

abc: 6.2743 6.2743 5.4879
angles: 55.13 55.13 90.00
Last column: magnetic moment on the atom in μB.
Atoms (fractional coordinates):
F 0.5000 0.5000 0.0000  0.03
F 0.2500 0.7500 0.5000  0.03
Ir 0.0000 0.0000 0.0000  -0.54
Ir 0.7500 0.2500 0.5000  -0.53
Cr 0.5746 0.1250 0.2500  3.88
Cr 0.1754 0.6250 0.2500  3.89
Cr 0.8750 0.8246 0.7500  3.89
Cr 0.3750 0.4254 0.7500  3.87